VASP calculation (PBE) on a relaxed structure of ScReOs.

```
12
Lattice="5.311 -0.087 0.000 -2.648 4.604 0.000 0.000 0.000 8.449" Properties=species:S:1:pos:R:3 pbc="T T T"
Sc 2.643 1.485 5.790
Sc 0.013 3.036 6.913
Sc 0.013 3.036 1.537
Sc 2.643 1.485 2.660
Re 5.293 -0.076 6.362
Re 5.293 -0.076 2.087
Re -0.001 1.568 4.225
Re 1.290 3.759 4.225
Os -1.261 3.787 4.225
Os 2.677 2.927 0.000
Os 1.398 0.758 0.000
Os 3.934 0.724 0.000
```

Calculated values
Magnetization (Bohr magnetons per cell): 0.00
Formation enthalpy at 0 K (meV/atom): -370.0
Relative energy among the computed polymorphs (meV/atom): 0
SG: Amm2